The following is a DFT calculation (PBE) of an optimized crystal structure of TbY3Zn.

The structure belongs to space group C2/m (No. 12); the cell edges are 11.612, 8.588 and 7.762 Å and the angles 90.00°, 126.55° and 90.00°. Symmetry generates all atoms from Tb at (0.081, 0.000, 0.273), Y at (0.046, 0.500, 0.309), Y at (0.195, 0.199, 0.724) and Zn at (0.231, 0.000, 0.074).

The formation energy comes out at 0.041 eV/atom. Its energy relative to the lowest polymorph listed for this composition is 167 meV per atom. The value obtained for the density is 5.2 g/cm³. For the electronic total energy, the calculation gives -100.4 eV for the cell shown.



The following is a DFT calculation (PBE) of an optimized crystal structure of Be4Ir3.

The structure belongs to space group P6/mmm (No. 191); the cell edges are 5.1132, 5.1132 and 3.9514 Å and the angles 90.00°, 90.00° and 120.00°. Symmetry generates all atoms from Be at (0.0000, 0.0000, 0.2456), Be at (0.3333, 0.6667, 0.5000) and Ir at (0.0000, 0.5000, 0.0000).

The formation energy comes out at 0.214 eV/atom. Its energy relative to the lowest polymorph listed for this composition is 676 meV per atom. The value obtained for the density is 11.4 g/cm³. For the electronic total energy, the calculation gives -40.0 eV for the cell shown.



The following is a DFT calculation (PBE) of an optimized crystal structure of Te3Pb.

The structure belongs to space group Cmmm (No. 65); the cell edges are 4.526, 4.645 and 12.701 Å and the angles 90.00°, 90.00° and 90.00°. Symmetry generates all atoms from Te at (0.000, 0.000, 0.000), Te at (0.000, 0.500, 0.294) and Pb at (0.000, 0.000, 0.500).

The value obtained for the formation energy without anion corrections is 132 meV/atom. The value obtained for the density is 7.3 g/cm³. For the electronic total energy, the calculation gives -25.2 eV for the cell shown.



The following is a DFT calculation (PBE) of an optimized crystal structure of Na3Hg2Au4.

The structure belongs to space group C2/m (No. 12); the cell edges are 10.276, 4.831 and 8.856 Å and the angles 90.00°, 98.42° and 90.00°. Symmetry generates all atoms from Na at (0.000, 0.000, 0.000), Na at (0.109, 0.500, 0.381), Hg at (0.216, 0.500, 0.743), Au at (0.092, 0.000, 0.625) and Au at (0.235, 0.500, 0.084).

The formation energy comes out at -0.234 eV/atom. The value obtained for the density is 9.6 g/cm³. For the electronic total energy, the calculation gives -39.6 eV for the cell shown.



The following is a DFT calculation (PBE) of an optimized crystal structure of YCdHg3.

The structure belongs to space group P2_1/m (No. 11); the cell edges are 5.080, 5.106 and 9.508 Å and the angles 90.00°, 105.21° and 90.00°. Symmetry generates all atoms from Y at (0.151, 0.250, 0.302), Cd at (0.348, 0.250, 0.696), Hg at (0.047, 0.750, 0.094), Hg at (0.248, 0.750, 0.498) and Hg at (0.449, 0.750, 0.896).

The formation energy comes out at -0.278 eV/atom. Its energy relative to the lowest polymorph listed for this composition is 0 meV per atom. The value obtained for the density is 11.2 g/cm³. For the electronic total energy, the calculation gives -19.3 eV for the cell shown.



The following is a DFT calculation (PBE) of an optimized crystal structure of Pm2Er3Th2.

The structure belongs to space group P-1 (No. 2); the cell edges are 3.587, 6.174 and 10.677 Å and the angles 95.53°, 90.00° and 106.86°. Symmetry generates all atoms from Pm at (0.074, 0.145, 0.284), Er at (0.355, 0.710, 0.425), Er at (0.500, 0.000, 0.000) and Th at (0.214, 0.427, 0.861).

The formation energy comes out at 0.030 eV/atom. Its energy relative to the lowest polymorph listed for this composition is 0 meV per atom. The value obtained for the density is 9.3 g/cm³. For the electronic total energy, the calculation gives -37.8 eV for the cell shown.



The following is a DFT calculation (PBE) of an optimized crystal structure of Be2CuHg.

The structure belongs to space group R-3m (No. 166, hexagonal axes); the cell edges are 2.7685, 2.7685 and 24.5268 Å and the angles 90.00°, 90.00° and 120.00°. Symmetry generates all atoms from Be at (0.0000, 0.0000, 0.2369), Cu at (0.0000, 0.0000, 0.5000) and Hg at (0.0000, 0.0000, 0.0000).

The formation energy comes out at 0.479 eV/atom. The value obtained for the density is 8.6 g/cm³. For the electronic total energy, the calculation gives -29.8 eV for the cell shown.



The following is a DFT calculation (PBE) of an optimized crystal structure of AlTl2Cd.

The structure belongs to space group Immm (No. 71); the cell edges are 3.797, 5.322 and 10.352 Å and the angles 90.00°, 90.00° and 90.00°. Symmetry generates all atoms from Al at (0.000, 0.000, 0.000), Tl at (0.000, 0.500, 0.267) and Cd at (0.000, 0.000, 0.500).

The formation energy comes out at 0.207 eV/atom. The value obtained for the density is 8.7 g/cm³. For the electronic total energy, the calculation gives -17.1 eV for the cell shown.



The following is a DFT calculation (PBE) of an optimized crystal structure of TbCe4Ga3.

The structure belongs to space group C2/m (No. 12); the cell edges are 24.565, 4.470 and 3.656 Å and the angles 90.00°, 97.64° and 90.00°. Symmetry generates all atoms from Tb at (0.000, 0.000, 0.000), Ce at (0.106, 0.500, 0.149), Ce at (0.164, 0.000, 0.898), Ga at (0.000, 0.500, 0.500) and Ga at (0.221, 0.500, 0.474).

The formation energy comes out at -0.243 eV/atom. The value obtained for the density is 7.8 g/cm³. For the electronic total energy, the calculation gives -78.8 eV for the cell shown.



The following is a DFT calculation (PBE) of an optimized crystal structure of LaCoAu.

The structure belongs to space group F-43m (No. 216); the cell edges are 6.478, 6.478 and 6.478 Å and the angles 90.00°, 90.00° and 90.00°. Symmetry generates all atoms from La at (0.000, 0.000, 0.000), Co at (0.250, 0.250, 0.750) and Au at (0.000, 0.000, 0.500).

The formation energy comes out at -0.158 eV/atom. The value obtained for the density is 9.6 g/cm³. For the electronic total energy, the calculation gives -63.1 eV for the cell shown.



The following is a DFT calculation (PBE) of an optimized crystal structure of Rb3TlF8.

The structure belongs to space group I4/mmm (No. 139); the cell edges are 6.292, 6.292 and 12.586 Å and the angles 90.00°, 90.00° and 90.00°. Symmetry generates all atoms from Rb at (0.000, 0.000, 0.000), Rb at (0.000, 0.500, 0.250), Tl at (0.000, 0.000, 0.500) and F at (0.210, 0.210, 0.393).

The value obtained for the formation energy without anion corrections is -1965 meV/atom. The value obtained for the density is 4.1 g/cm³. For the electronic total energy, the calculation gives -87.6 eV for the cell shown.



The following is a DFT calculation (PBE) of an optimized crystal structure of HoPa2FeN5.

The structure belongs to space group Cmc2_1 (No. 36); the cell edges are 3.346, 13.449 and 10.111 Å and the angles 90.00°, 90.00° and 90.00°. Symmetry generates all atoms from Ho at (0.000, 0.200, 0.000), Pa at (0.000, 0.107, 0.683), Pa at (0.000, 0.137, 0.299), Fe at (0.000, 0.483, 0.461), N at (0.000, 0.038, 0.062), N at (0.000, 0.282, 0.676), N at (0.000, 0.337, 0.351), N at (0.000, 0.371, 0.998) and N at (0.000, 0.481, 0.777).

The value obtained for the formation energy without anion corrections is -1158 meV/atom. The value obtained for the density is 11.0 g/cm³. For the electronic total energy, the calculation gives -336.3 eV for the cell shown.